Here is TlZnCd2 after structural relaxation from Alexandria. Energies are from GGA-PBE.

a b c (Å): 4.198 4.666 4.870
angles (deg): 90.00 90.00 90.00
Element x y z (fractional)
Tl  0.000  0.000  0.000
Zn  0.500  0.500  0.000
Cd  0.000  0.500  0.500
Cd  0.500  0.000  0.500

Output
Total energy: -4.96 eV per formula unit
Space-group type: No. 47
Volume: 23.849 Å³/atom
M_tot: 0.0 μB/cell
ΔE to the lowest computed polymorph: 54 meV per atom
ΔE_f: 0.13 eV/atom